This record from Alexandria via LeMat-Bulk describes an optimized crystal structure of K5PdF8. The functional is PBE-GGA.

```
K5PdF8
1.0
6.8740 -0.0572 0.0983
-2.3797 6.4492 -0.0983
-2.1146 -3.2892 5.6546
F Pd K
8 1 5
Direct
0.7549 0.2256 0.3355
0.6645 0.4194 0.8902
0.1955 0.7164 0.9830
0.4708 0.5806 0.2451
0.5208 0.7875 0.8045
0.0170 0.2125 0.7333
0.2667 0.2836 0.4792
0.1098 0.7744 0.5292
0.2500 0.5000 0.7500
0.3853 0.1378 0.9777
0.8400 0.8622 0.2476
0.7524 0.5924 0.6147
0.5000 0.0000 0.5000
0.0223 0.4076 0.1600
```

**Formation energy without anion corrections**: -220.24 kJ/mol of atoms

***

This record from Alexandria via LeMat-Bulk describes an optimized crystal structure of PrNdSeCl. The functional is PBE-GGA.

```
PrNdSeCl
1.0
5.1332 0.0000 0.0000
2.5666 4.4455 0.0000
2.5666 1.4818 4.1913
Nd Cl Se Pr
1 1 1 1
Direct
0.0000 0.0000 0.0000
0.7500 0.7500 0.7500
0.2500 0.2500 0.2500
0.5000 0.5000 0.5000
```

**Formation energy without anion corrections**: -142.76 kJ/mol of atoms

***

This record from Alexandria via LeMat-Bulk describes an optimized crystal structure of Pm2Pt. The functional is PBE-GGA.

```
Pm2Pt
1.0
-2.1699 -1.4516 2.5196
-1.5910 -2.0418 -2.5423
6.1835 -2.8934 1.0445
Pt Pm
1 2
Direct
0.5000 0.5000 0.0000
0.1315 0.1315 0.2631
0.8685 0.8685 0.7369
```

**Energy relative to the elements**: -0.69 eV/atom
**E above lowest polymorph**: 0.145 eV per atom

***

This record from Alexandria via LeMat-Bulk describes an optimized crystal structure of MoP2Au. The functional is PBE-GGA.

```
MoP2Au
1.0
-4.1043 -1.4645 -3.0388
0.6789 -1.6699 -4.9975
1.9545 -0.8651 4.8637
Au P Mo
1 2 1
Direct
0.5000 0.5000 0.0000
0.0000 0.0000 0.0000
0.2500 0.7500 0.5000
0.7500 0.2500 0.5000
```

**Energy relative to the elements**: 0.35 eV/atom
**E above lowest polymorph**: 0.386 eV per atom

***

This record from Alexandria via LeMat-Bulk describes an optimized crystal structure of MnCrC. The functional is PBE-GGA.

```
MnCrC
1.0
2.8505 0.0000 0.0000
-1.4252 2.4686 0.0000
0.0000 0.0000 4.2239
Mn Cr C
1 1 1
Direct
0.0000 0.0000 0.3902
0.3333 0.6667 0.8921
0.6667 0.3333 0.1446
```

**Energy relative to the elements**: 0.03 eV/atom
**E above lowest polymorph**: 0.020 eV per atom

***

Magnetization (computed, μB/cell): 1.08; 0.00; 0.00; 0.54; 1.28